Entry 1:
{"formula": "POsRh2", "functional": "PBE", "state": "optimized geometry", "ef_ev_per_atom": -0.1396, "cell": [[4.557, -2.499, -0.540], [5.058, 0.173, -1.302], [2.653, 0.458, 3.351]], "species": ["Rh", "Rh", "P", "Os"], "frac_coords": [[0.952, 0.952, 0.057], [0.755, 0.755, 0.749], [0.246, 0.246, 0.231], [0.546, 0.546, 0.463]]}

---

Entry 2:
{"formula": "Cs2VSb4", "functional": "PBE", "state": "optimized geometry", "raw_formation_energy_ev_per_fu": -0.1, "cell": [[-1.289, -4.260, 2.892], [-2.461, -2.109, -4.203], [6.494, -7.555, -3.364]], "species": ["Sb", "Sb", "Sb", "Sb", "Cs", "Cs", "V"], "frac_coords": [[0.500, 0.000, 0.000], [0.868, 0.868, 0.265], [0.000, 0.500, 0.000], [0.132, 0.132, 0.735], [0.340, 0.340, 0.319], [0.660, 0.660, 0.681], [0.000, 0.000, 0.000]]}

---

Entry 3:
{"formula": "Np2Ga12Pt", "functional": "PBE", "state": "optimized geometry", "ef_ev_per_atom": -0.2231, "cell": [[6.089, 0.000, 0.000], [0.000, 6.089, 0.000], [0.000, 0.000, 15.486]], "species": ["Ga", "Ga", "Ga", "Ga", "Ga", "Ga", "Ga", "Ga", "Ga", "Ga", "Ga", "Ga", "Ga", "Ga", "Ga", "Ga", "Ga", "Ga", "Ga", "Ga", "Ga", "Ga", "Ga", "Ga", "Pt", "Pt", "Np", "Np", "Np", "Np"], "frac_coords": [[0.331, 0.831, 0.430], [0.331, 0.169, 0.570], [0.500, 0.500, 0.810], [0.750, 0.750, 0.092], [0.500, 0.500, 0.654], [0.000, 0.000, 0.810], [0.250, 0.750, 0.908], [0.750, 0.250, 0.092], [0.669, 0.169, 0.430], [0.169, 0.669, 0.570], [0.250, 0.250, 0.908], [0.500, 0.500, 0.346], [0.669, 0.831, 0.570], [0.831, 0.331, 0.570], [0.250, 0.750, 0.092], [0.000, 0.000, 0.654], [0.500, 0.500, 0.190], [0.250, 0.250, 0.092], [0.000, 0.000, 0.346], [0.000, 0.000, 0.190], [0.169, 0.331, 0.430], [0.750, 0.750, 0.908], [0.750, 0.250, 0.908], [0.831, 0.669, 0.430], [0.500, 0.000, 0.000], [0.000, 0.500, 0.000], [0.000, 0.500, 0.759], [0.500, 0.000, 0.759], [0.500, 0.000, 0.241], [0.000, 0.500, 0.241]]}

---

Entry 4:
{"formula": "Tl3GeI6", "functional": "PBE", "state": "optimized geometry", "relative_energy_mev_per_atom": 0, "raw_formation_energy_ev_per_fu": -4.4, "cell": [[8.512, 0.000, 0.000], [0.000, 10.992, -0.120], [0.000, -2.570, 10.688]], "species": ["I", "I", "I", "I", "I", "I", "I", "I", "I", "I", "I", "I", "Tl", "Tl", "Tl", "Tl", "Tl", "Tl", "Ge", "Ge"], "frac_coords": [[0.671, 0.578, 0.095], [0.171, 0.422, 0.905], [0.691, 0.315, 0.363], [0.643, 0.958, 0.042], [0.191, 0.685, 0.637], [0.671, 0.905, 0.422], [0.227, 0.798, 0.202], [0.191, 0.363, 0.315], [0.143, 0.042, 0.958], [0.171, 0.095, 0.578], [0.691, 0.637, 0.685], [0.727, 0.202, 0.798], [0.973, 0.106, 0.287], [0.901, 0.590, 0.410], [0.401, 0.410, 0.590], [0.973, 0.713, 0.894], [0.473, 0.287, 0.106], [0.473, 0.894, 0.713], [0.044, 0.192, 0.808], [0.544, 0.808, 0.192]]}

---

Entry 5:
{"formula": "NbInW2C", "functional": "PBE", "state": "optimized geometry", "ef_ev_per_atom": 0.5898, "relative_energy_mev_per_atom": 369, "cell": [[-1.324, -0.212, -3.904], [4.486, -0.799, -1.478], [-0.585, -4.065, 0.420]], "species": ["In", "W", "W", "Nb", "C"], "frac_coords": [[0.000, 0.500, 0.000], [0.000, 0.000, 0.500], [0.500, 0.000, 0.000], [0.500, 0.500, 0.500], [0.000, 0.000, 0.000]]}

---

Entry 6:
{"formula": "GdThGa", "functional": "PBE", "state": "optimized geometry", "ef_ev_per_atom": -0.2701, "relative_energy_mev_per_atom": 0, "cell": [[-3.380, 1.346, -0.232], [0.098, -0.379, -3.624], [-0.683, -6.228, 2.465]], "species": ["Ga", "Th", "Gd"], "frac_coords": [[0.663, 0.663, 0.327], [0.315, 0.315, 0.630], [0.022, 0.022, 0.043]]}

---

Entry 7:
{"formula": "Cs2NaHg", "functional": "PBE", "state": "optimized geometry", "ef_ev_per_atom": -0.0797, "relative_energy_mev_per_atom": 36, "cell": [[0.000, 4.936, 4.936], [4.936, 0.000, 4.936], [4.936, 4.936, 0.000]], "species": ["Hg", "Cs", "Cs", "Na"], "frac_coords": [[0.500, 0.500, 0.500], [0.250, 0.250, 0.250], [0.750, 0.750, 0.750], [0.000, 0.000, 0.000]]}

---

Entry 8:
{"formula": "Er7TmTh2", "functional": "PBE", "state": "optimized geometry", "ef_ev_per_atom": 0.7821, "relative_energy_mev_per_atom": 758, "cell": [[5.429, 0.000, 0.000], [0.000, 9.347, -0.683], [0.000, -4.826, 8.034]], "species": ["Er", "Er", "Er", "Er", "Er", "Er", "Er", "Tm", "Th", "Th"], "frac_coords": [[0.500, 0.500, 0.500], [0.000, 0.203, 0.797], [0.500, 0.284, 0.067], [0.500, 0.067, 0.284], [0.500, 0.933, 0.716], [0.500, 0.716, 0.933], [0.000, 0.797, 0.203], [0.000, 0.000, 0.000], [0.500, 0.705, 0.295], [0.500, 0.295, 0.705]]}

---

Number 1: electronic total energy -7.975 eV per atom, size of the total moment 0.00 μB/cell. Number 2: electronic total energy -3.913 eV per atom, size of the total moment 0.00 μB/cell. Number 3: electronic total energy -4.773 eV per atom, size of the total moment 16.39 μB/cell. Number 4: electronic total energy -2.546 eV per atom, size of the total moment 1.30 μB/cell. Number 5: electronic total energy -8.998 eV per atom, size of the total moment 0.00 μB/cell. Number 6: electronic total energy -8.446 eV per atom, size of the total moment 7.29 μB/cell. Number 7: electronic total energy -0.912 eV per atom, size of the total moment 0.00 μB/cell. Number 8: electronic total energy -4.343 eV per atom, size of the total moment 0.00 μB/cell.